Entry 1:
Sc2Cu: optimized geometry, PBE.

The structure belongs to space group P-62m (No. 189); the cell edges are 6.8019, 6.8019 and 4.5063 Å and the angles 90.00°, 90.00° and 120.00°. The distinct sites, in fractional coordinates, are Sc at (0.0000, 0.2628, 0.0000), Sc at (0.0000, 0.5937, 0.5000), Cu at (0.0000, 0.0000, 0.5000) and Cu at (0.3333, 0.6667, 0.0000).

The calculation puts the density at 4.23 g cm⁻³. The calculation puts the energy relative to the elements at -0.47 eV per formula unit. The total energy is -51.7 eV per cell.

---

Entry 2:
Sc4Cu: optimized geometry, PBE.

The structure belongs to space group I4/m (No. 87); the cell edges are 6.6979, 6.6979 and 4.8824 Å and the angles 90.00°, 90.00° and 90.00°. The distinct sites, in fractional coordinates, are Sc at (0.1315, 0.3196, 0.0000) and Cu at (0.0000, 0.0000, 0.5000).

The calculation puts the density at 3.69 g cm⁻³. The calculation puts the energy relative to the elements at 0.28 eV per formula unit. Its offset from the most stable computed form is 0.016 eV/atom. The total energy is -58.3 eV per cell.

---

Entry 3:
ScCu22: optimized geometry, PBE.

The structure belongs to space group Fd-3m (No. 227, origin choice 2); the cell edges are 13.2739, 13.2739 and 13.2739 Å and the angles 90.00°, 90.00° and 90.00°. The distinct sites, in fractional coordinates, are Sc at (0.1250, 0.1250, 0.1250), Cu at (0.0000, 0.0000, 0.0000), Cu at (0.0000, 0.0000, 0.5000), Cu at (0.0119, 0.3750, 0.8750) and Cu at (0.0593, 0.0593, 0.3235).

The calculation puts the density at 8.20 g cm⁻³. The calculation puts the energy relative to the elements at 0.94 eV per formula unit. The total energy is -764.0 eV per cell.

---

Entry 4:
Sc2Cu3: optimized geometry, PBE.

The structure belongs to space group P-3m1 (No. 164); the cell edges are 4.4693, 4.4693 and 5.4310 Å and the angles 90.00°, 90.00° and 120.00°. The distinct sites, in fractional coordinates, are Sc at (0.3333, 0.6667, 0.2976), Cu at (0.0000, 0.0000, 0.5000) and Cu at (0.3333, 0.6667, 0.7944).

The calculation puts the density at 4.96 g cm⁻³. The calculation puts the energy relative to the elements at 0.43 eV per formula unit. The total energy is -24.5 eV per cell.

---

Entry 5:
Sc3Cu5: optimized geometry, PBE.

The structure belongs to space group P6_3/mcm (No. 193); the cell edges are 8.2479, 8.2479 and 4.6033 Å and the angles 90.00°, 90.00° and 120.00°. The distinct sites, in fractional coordinates, are Sc at (0.0000, 0.3722, 0.2500), Cu at (0.0000, 0.1806, 0.7500) and Cu at (0.3333, 0.6667, 0.0000).

The calculation puts the density at 5.54 g cm⁻³. The calculation puts the energy relative to the elements at 0.02 eV per formula unit. Its offset from the most stable computed form is 0.207 eV/atom. The total energy is -78.9 eV per cell.

---

Entry 6:
ScCu4: optimized geometry, PBE.

The structure belongs to space group Im-3m (No. 229); the cell edges are 5.7664, 5.7664 and 5.7664 Å and the angles 90.00°, 90.00° and 90.00°. The distinct sites, in fractional coordinates, are Sc at (0.0000, 0.0000, 0.0000) and Cu at (0.2500, 0.2500, 0.2500).

The calculation puts the density at 5.18 g cm⁻³. The calculation puts the energy relative to the elements at 4.26 eV per formula unit. The total energy is -36.9 eV per cell.

---

Entry 7:
Sc2Cu: optimized geometry, PBE.

The structure belongs to space group P-3m1 (No. 164); the cell edges are 4.5209, 4.5209 and 3.3776 Å and the angles 90.00°, 90.00° and 120.00°. The distinct sites, in fractional coordinates, are Sc at (0.3333, 0.6667, 0.2714) and Cu at (0.0000, 0.0000, 0.0000).

The calculation puts the density at 4.26 g cm⁻³. The calculation puts the energy relative to the elements at 0.00 eV per formula unit. The total energy is -16.8 eV per cell.

---

Entry 8:
Sc3Cu5: optimized geometry, PBE.

The structure belongs to space group Cmmm (No. 65); the cell edges are 6.4697, 8.8894 and 4.4596 Å and the angles 90.00°, 90.00° and 90.00°. The distinct sites, in fractional coordinates, are Sc at (0.0000, 0.0000, 0.0000), Sc at (0.0000, 0.2802, 0.5000), Cu at (0.0000, 0.5000, 0.0000), Cu at (0.2161, 0.0000, 0.5000) and Cu at (0.2500, 0.2500, 0.0000).

The calculation puts the density at 5.86 g cm⁻³. The calculation puts the energy relative to the elements at -1.28 eV per formula unit. Its offset from the most stable computed form is 0.046 eV/atom. The total energy is -81.5 eV per cell.

---

Entry 9:
Sc7Cu: optimized geometry, PBE.

The structure belongs to space group Fm-3m (No. 225); the cell edges are 8.9977, 8.9977 and 8.9977 Å and the angles 90.00°, 90.00° and 90.00°. The distinct sites, in fractional coordinates, are Sc at (0.0000, 0.0000, 0.0000), Sc at (0.0000, 0.2500, 0.2500) and Cu at (0.0000, 0.0000, 0.5000).

The calculation puts the density at 3.45 g cm⁻³. The calculation puts the energy relative to the elements at 0.64 eV per formula unit. The total energy is -191.1 eV per cell.

---

Entry 10:
Sc5Cu3: optimized geometry, PBE.

The structure belongs to space group Cmmm (No. 65); the cell edges are 6.9615, 9.4655 and 4.6299 Å and the angles 90.00°, 90.00° and 90.00°. The distinct sites, in fractional coordinates, are Sc at (0.0000, 0.0000, 0.0000), Sc at (0.2189, 0.5000, 0.5000), Sc at (0.2500, 0.2500, 0.0000), Cu at (0.0000, 0.2168, 0.5000) and Cu at (0.0000, 0.5000, 0.0000).

The calculation puts the density at 4.52 g cm⁻³. The calculation puts the energy relative to the elements at -0.72 eV per formula unit. Its offset from the most stable computed form is 0.097 eV/atom. The total energy is -89.3 eV per cell.

---

Entry 11:
Sc2Cu: optimized geometry, PBE.

The structure belongs to space group I4_1/amd (No. 141, origin choice 2); the cell edges are 3.1775, 3.1775 and 24.5210 Å and the angles 90.00°, 90.00° and 90.00°. The distinct sites, in fractional coordinates, are Sc at (0.0000, 0.2500, 0.3081) and Cu at (0.0000, 0.2500, 0.8750).

The calculation puts the density at 4.12 g cm⁻³. The calculation puts the energy relative to the elements at -0.07 eV per formula unit. The total energy is -67.3 eV per cell.